Computed, not measured: a relaxed Ba2Be2NiO6 crystal at the PBE with a Hubbard U level of DFT.

The space group is R-3m (No. 166, hexagonal axes) and the conventional cell measures 5.5013, 5.5013 and 16.0865 Å, with angles of 90.00, 90.00 and 120.00 degrees. The distinct sites, in fractional coordinates, are Ba at (0.0000, 0.0000, 0.2233), Be at (0.0000, 0.0000, 0.4077), Ni at (0.0000, 0.0000, 0.0000) and O at (0.0081, 0.5040, 0.2581).

The calculated total energy is -196.5 eV for the cell shown. Its total magnetization is 0.07 μB per cell.